S (SCAN, PBEsol geometry); SG = Pbcn, No. 60; ρ = 2048 kg/m3; polymorph energy (0 for the lowest one) = 13 meV/atom; formation energy from raw total energies = 13 meV/atom
1.0
-6.4385 3.0247 4.8003
3.3612 -8.2727 9.7209
11.2052 12.7628 6.9870
S
80
direct
0.3038 0.7276 0.9045
0.6614 0.7188 0.2298
0.1736 0.4841 0.4077
0.6614 0.2188 0.2702
0.2747 0.4867 0.9450
0.3457 0.1059 0.4001
0.2747 0.9867 0.5550
0.3386 0.2812 0.7702
0.8038 0.7724 0.5955
0.8264 0.0159 0.9077
0.6173 0.0656 0.2680
0.1962 0.7276 0.0955
0.2779 0.2246 0.9456
0.7779 0.2754 0.5544
0.4459 0.1166 0.9275
0.1962 0.2276 0.4045
0.6543 0.8941 0.5999
0.4459 0.6166 0.5725
0.2289 0.4964 0.6945
0.9459 0.3834 0.5725
0.8457 0.3941 0.0999
0.8264 0.5159 0.5923
0.0541 0.1166 0.0725
0.8386 0.7188 0.7702
0.3038 0.2276 0.5955
0.8457 0.8941 0.4001
0.9527 0.7822 0.6829
0.3457 0.6059 0.0999
0.1736 0.9841 0.0923
0.1614 0.7812 0.2702
0.7711 0.5036 0.3055
0.6962 0.7724 0.4045
0.7289 0.5036 0.6945
0.7711 0.0036 0.1945
0.4527 0.7178 0.8171
0.4527 0.2178 0.6829
0.7747 0.0133 0.5550
0.0541 0.6166 0.4275
0.2253 0.9867 0.4450
0.0473 0.2178 0.3171
0.6736 0.0159 0.0923
0.8386 0.2188 0.7298
0.2221 0.2246 0.0544
0.1543 0.1059 0.5999
0.2711 0.4964 0.3055
0.6736 0.5159 0.4077
0.2779 0.7246 0.5544
0.7747 0.5133 0.9450
0.7779 0.7754 0.9456
0.9459 0.8834 0.9275
0.1614 0.2812 0.2298
0.8827 0.5656 0.7680
0.6543 0.3941 0.9001
0.3264 0.9841 0.9077
0.5541 0.8834 0.0725
0.5541 0.3834 0.4275
0.3827 0.4344 0.7680
0.2711 0.9964 0.1945
0.7289 0.0036 0.8055
0.8827 0.0656 0.7320
0.1543 0.6059 0.9001
0.6173 0.5656 0.2320
0.9527 0.2822 0.8171
0.0473 0.7178 0.1829
0.3264 0.4841 0.5923
0.2289 0.9964 0.8055
0.1173 0.9344 0.2680
0.3386 0.7812 0.7298
0.6962 0.2724 0.0955
0.3827 0.9344 0.7320
0.8038 0.2724 0.9045
0.7253 0.5133 0.0550
0.1173 0.4344 0.2320
0.5473 0.2822 0.1829
0.7221 0.2754 0.4456
0.5473 0.7822 0.3171
0.2221 0.7246 0.4456
0.7253 0.0133 0.4450
0.2253 0.4867 0.0550
0.7221 0.7754 0.0544